The following is a GGA-PBE calculation of a relaxed Dy2Er9Mg crystal, from the Alexandria database.

Cell: 4.935 4.935 14.859 Å, 90.00 90.00 90.00°
Atoms (fractional coordinates):
Er: 0.500 0.500 0.671
Er: 0.500 0.000 0.164
Er: 0.500 0.000 0.836
Er: 0.000 0.500 0.164
Er: 0.000 0.500 0.500
Er: 0.500 0.500 0.329
Er: 0.000 0.500 0.836
Er: 0.500 0.500 0.000
Er: 0.500 0.000 0.500
Dy: 0.000 0.000 0.332
Dy: 0.000 0.000 0.668
Mg: 0.000 0.000 0.000

The formation energy comes out at 0.02 eV per atom. The value obtained for the magnetic moment is 0.0 μB per formula unit.